Record 1
## Tb3Y2Tl2 (PBE-GGA)

Data for an optimized crystal structure of Tb3Y2Tl2.

Unit cell a=5.423 b=5.420 c=8.658 alpha=108.28 beta=90.00 gamma=120.02
Atoms (fractional coordinates):
Tb: 0.500 0.000 0.000
Tb: 0.655 0.310 0.464
Tb: 0.345 0.690 0.536
Y: 0.925 0.850 0.275
Y: 0.075 0.150 0.725
Tl: 0.784 0.568 0.851
Tl: 0.216 0.432 0.149

Summary:
space-group type	No. 12
relative energy among the computed polymorphs	0.000	eV/atom
DOS(E_F)	5.83	states/eV/cell
E_form	-0.21	eV/atom

Record 2
## Pm14DyMg (PBE-GGA)

Data for an optimized crystal structure of Pm14DyMg.

Unit cell a=7.226 b=7.226 c=10.251 alpha=90.00 beta=90.00 gamma=90.00
Atoms (fractional coordinates):
Pm: 0.375 0.625 0.500
Pm: 0.875 0.125 0.500
Pm: 0.876 0.626 0.000
Pm: 0.875 0.624 0.500
Pm: 0.374 0.124 0.000
Pm: 0.376 0.125 0.500
Pm: 0.625 0.875 0.753
Pm: 0.625 0.875 0.247
Pm: 0.125 0.375 0.753
Pm: 0.125 0.375 0.247
Pm: 0.125 0.875 0.752
Pm: 0.125 0.875 0.248
Pm: 0.625 0.375 0.754
Pm: 0.625 0.375 0.246
Dy: 0.375 0.625 0.000
Mg: 0.874 0.126 0.000

Summary:
space-group type	No. 38
DOS(E_F)	20.27	states/eV/cell
E_form	0.01	eV/atom

Record 3
## In8Ag2Ir (PBE-GGA)

Data for an optimized crystal structure of In8Ag2Ir.

Unit cell a=4.564 b=10.866 c=7.264 alpha=127.42 beta=108.01 gamma=85.57
Atoms (fractional coordinates):
In: 0.643 0.877 0.255
In: 0.414 0.663 0.691
In: 0.120 0.121 0.284
In: 0.957 0.445 0.146
In: 0.880 0.879 0.716
In: 0.586 0.337 0.309
In: 0.357 0.123 0.745
In: 0.043 0.555 0.854
Ag: 0.222 0.766 0.378
Ag: 0.778 0.234 0.622
Ir: 0.500 0.000 0.000

Summary:
space-group type	No. 2
DOS(E_F)	4.84	states/eV/cell
E_form	0.02	eV/atom

Record 4
## Pr2ZnGe (PBE-GGA)

Data for an optimized crystal structure of Pr2ZnGe.

Unit cell a=3.927 b=5.087 c=5.087 alpha=90.00 beta=90.00 gamma=90.00
Atoms (fractional coordinates):
Pr: 0.000 0.000 0.500
Pr: 0.000 0.500 0.000
Ge: 0.500 0.000 0.000
Zn: 0.500 0.500 0.500

Summary:
space-group type	No. 123
DOS(E_F)	2.51	states/eV/cell
E_form	-0.51	eV/atom